[1]
# Cu4PtAu2

Crystalline Cu4PtAu2 at its relaxed geometry (PBE, Alexandria via LeMat-Bulk).

Structure (POSCAR):
```
Cu4PtAu2
1.0
3.543 0.000 -0.468
0.000 2.791 0.000
-0.419 0.000 10.489
Au Cu Pt
2 4 1
Direct
0.803 0.500 0.606
0.197 0.500 0.394
0.066 0.500 0.132
0.627 0.000 0.254
0.373 0.000 0.746
0.934 0.500 0.868
0.500 0.000 0.000
```

Output
Formation energy from the elements in meV/atom: -45
Magnetization in μB per atom: 0.00
Crystal system: orthorhombic
E above lowest polymorph in eV per formula unit: 0.000



[2]
# CuPtAu

Crystalline CuPtAu at its relaxed geometry (PBE, Alexandria via LeMat-Bulk).

Structure (POSCAR):
```
CuPtAu
1.0
-3.803 3.625 2.742
-5.542 2.025 -0.549
3.995 -4.377 0.016
Pt Cu Au
1 1 1
Direct
0.678 0.678 0.000
0.329 0.329 0.000
0.992 0.992 0.000
```

Output
Formation energy from the elements in meV/atom: -60
Magnetization in μB per atom: 0.00
Crystal system: tetragonal
E above lowest polymorph in eV per formula unit: 0.000



[3]
# Cu2Pt3Au

Crystalline Cu2Pt3Au at its relaxed geometry (PBE, Alexandria via LeMat-Bulk).

Structure (POSCAR):
```
Cu2Pt3Au
1.0
-1.422 4.274 1.605
-2.375 -3.383 2.405
7.896 -0.591 3.743
Pt Au Cu
6 2 4
Direct
0.538 0.788 0.076
0.462 0.212 0.924
0.625 0.375 0.250
0.788 0.538 0.576
0.212 0.462 0.424
0.375 0.625 0.750
0.875 0.125 0.750
0.125 0.875 0.250
0.956 0.706 0.913
0.044 0.294 0.087
0.294 0.044 0.587
0.706 0.956 0.413
```

Output
Formation energy from the elements in meV/atom: -93
Magnetization in μB per atom: 0.00
Crystal system: monoclinic
E above lowest polymorph in eV per formula unit: 0.000



[4]
# Cu2Pt2Au

Crystalline Cu2Pt2Au at its relaxed geometry (PBE, Alexandria via LeMat-Bulk).

Structure (POSCAR):
```
Cu2Pt2Au
1.0
-1.106 -2.487 -0.554
2.460 -0.897 -0.881
3.392 -3.432 8.633
Pt Au Cu
2 1 2
Direct
0.000 0.191 0.619
0.000 0.809 0.381
0.000 0.000 0.000
0.500 0.599 0.802
0.500 0.401 0.198
```

Output
Formation energy from the elements in meV/atom: -40
Magnetization in μB per atom: 0.00
Crystal system: orthorhombic
E above lowest polymorph in eV per formula unit: 0.000



[5]
# CuPtAu

Crystalline CuPtAu at its relaxed geometry (PBE, Alexandria via LeMat-Bulk).

Structure (POSCAR):
```
CuPtAu
1.0
-2.538 -1.648 3.987
-1.412 -1.364 -4.605
8.272 -10.994 0.721
Pt Au Cu
6 6 6
Direct
0.677 0.338 0.833
0.662 0.338 0.500
0.662 0.323 0.167
0.338 0.677 0.167
0.338 0.662 0.500
0.323 0.662 0.833
0.500 0.500 0.000
0.000 0.000 0.500
0.500 0.000 0.667
0.000 0.000 0.167
0.000 0.000 0.833
0.000 0.500 0.333
0.500 0.000 0.999
0.000 0.500 0.001
0.500 0.500 0.668
0.000 0.500 0.665
0.500 0.500 0.332
0.500 0.000 0.335
```

Output
Formation energy from the elements in meV/atom: 59
Magnetization in μB per atom: 0.00
Crystal system: hexagonal
E above lowest polymorph in eV per formula unit: 0.357



[6]
# Cu3Pt2Au2

Crystalline Cu3Pt2Au2 at its relaxed geometry (PBE, Alexandria via LeMat-Bulk).

Structure (POSCAR):
```
Cu3Pt2Au2
1.0
-1.449 0.132 -2.417
1.721 -5.845 0.291
-5.071 1.719 4.808
Pt Cu Au
2 3 2
Direct
0.294 0.160 0.427
0.706 0.840 0.573
0.860 0.430 0.290
0.000 0.000 0.000
0.140 0.570 0.710
0.569 0.279 0.861
0.431 0.721 0.139
```

Output
Formation energy from the elements in meV/atom: -51
Magnetization in μB per atom: 0.00
Crystal system: triclinic
E above lowest polymorph in eV per formula unit: 0.000



[7]
# CuPt2Au

Crystalline CuPt2Au at its relaxed geometry (PBE, Alexandria via LeMat-Bulk).

Structure (POSCAR):
```
CuPt2Au
1.0
-0.422 -4.595 2.850
2.483 -0.339 4.810
-3.712 2.311 -3.209
Cu Pt Au
1 2 1
Direct
0.245 0.745 0.500
0.009 0.009 0.000
0.756 0.256 0.500
0.490 0.490 0.000
```

Output
Formation energy from the elements in meV/atom: 30
Magnetization in μB per atom: 0.00
Crystal system: orthorhombic
E above lowest polymorph in eV per formula unit: 0.540



[8]
# Cu2PtAu5

Crystalline Cu2PtAu5 at its relaxed geometry (PBE, Alexandria via LeMat-Bulk).

Structure (POSCAR):
```
Cu2PtAu5
1.0
-2.815 2.217 1.929
-3.040 0.306 -4.787
-5.493 -9.483 2.882
Au Cu Pt
10 4 2
Direct
0.000 0.005 0.252
0.500 0.254 0.124
0.000 0.495 0.752
0.500 0.746 0.876
0.000 0.995 0.748
0.000 0.000 0.000
0.500 0.246 0.624
0.500 0.754 0.376
0.000 0.505 0.248
0.000 0.500 0.500
0.500 0.744 0.121
0.500 0.756 0.621
0.500 0.256 0.879
0.500 0.244 0.379
0.000 0.000 0.500
0.000 0.500 0.000
```

Output
Formation energy from the elements in meV/atom: -29
Magnetization in μB per atom: 0.00
Crystal system: orthorhombic



[9]
# CuPtAu

Crystalline CuPtAu at its relaxed geometry (PBE, Alexandria via LeMat-Bulk).

Structure (POSCAR):
```
CuPtAu
1.0
-2.012 4.891 -5.059
-4.353 3.944 -3.935
0.956 2.442 0.873
Pt Cu Au
1 1 1
Direct
0.676 0.676 0.324
0.332 0.332 0.668
0.992 0.992 0.008
```

Output
Formation energy from the elements in meV/atom: -5
Magnetization in μB per atom: 0.00
Crystal system: orthorhombic
E above lowest polymorph in eV per formula unit: 0.164



[10]
# Cu2Pt3Au6

Crystalline Cu2Pt3Au6 at its relaxed geometry (PBE, Alexandria via LeMat-Bulk).

Structure (POSCAR):
```
Cu2Pt3Au6
1.0
4.740 0.000 1.322
2.356 4.256 0.711
-2.486 -4.466 18.070
Au Pt Cu
12 6 4
Direct
0.786 0.385 0.885
0.552 0.946 0.115
0.717 0.785 0.615
0.944 0.885 0.385
0.883 0.285 0.115
0.214 0.615 0.115
0.386 0.446 0.615
0.614 0.554 0.385
0.117 0.715 0.885
0.448 0.054 0.885
0.056 0.115 0.615
0.283 0.215 0.385
0.080 0.417 0.250
0.585 0.250 0.750
0.920 0.583 0.750
0.252 0.917 0.750
0.748 0.083 0.250
0.415 0.750 0.250
0.832 0.335 0.500
0.332 0.835 0.000
0.668 0.165 0.000
0.168 0.665 0.500
```

Output
Formation energy from the elements in meV/atom: 64
Magnetization in μB per atom: 0.00
Crystal system: orthorhombic



[11]
# Cu3Pt2Au2

Crystalline Cu3Pt2Au2 at its relaxed geometry (PBE, Alexandria via LeMat-Bulk).

Structure (POSCAR):
```
Cu3Pt2Au2
1.0
-4.002 0.434 5.401
-5.178 -3.094 2.999
-1.632 -3.298 5.643
Cu Au Pt
3 2 2
Direct
0.279 0.279 0.279
0.721 0.721 0.721
0.000 0.000 0.000
0.417 0.417 0.417
0.583 0.583 0.583
0.861 0.861 0.861
0.139 0.139 0.139
```

Output
Formation energy from the elements in meV/atom: -7
Magnetization in μB per atom: 0.00
Crystal system: trigonal
E above lowest polymorph in eV per formula unit: 0.306



[12]
# CuPt2Au

Crystalline CuPt2Au at its relaxed geometry (PBE, Alexandria via LeMat-Bulk).

Structure (POSCAR):
```
CuPt2Au
1.0
-3.726 1.593 1.862
-0.988 -1.011 4.230
0.251 3.137 3.160
Pt Cu Au
2 1 1
Direct
0.750 0.750 0.750
0.000 0.000 0.000
0.250 0.250 0.250
0.500 0.500 0.500
```

Output
Formation energy from the elements in meV/atom: 58
Magnetization in μB per atom: 0.00
Crystal system: cubic
E above lowest polymorph in eV per formula unit: 0.651



[13]
# Cu5Pt4Au

Crystalline Cu5Pt4Au at its relaxed geometry (PBE, Alexandria via LeMat-Bulk).

Structure (POSCAR):
```
Cu5Pt4Au
1.0
-2.370 -0.512 1.377
-0.739 -1.843 -1.958
8.285 -13.239 9.332
Cu Pt Au
5 4 1
Direct
0.500 0.500 0.698
0.500 0.500 0.105
0.500 0.500 0.895
0.500 0.500 0.500
0.500 0.500 0.302
0.000 0.000 0.401
0.000 0.000 0.599
0.000 0.000 0.203
0.000 0.000 0.797
0.000 0.000 0.000
```

Output
Formation energy from the elements in meV/atom: -130
Magnetization in μB per atom: 0.00
Crystal system: tetragonal



[14]
# Cu16Pt6Au7

Crystalline Cu16Pt6Au7 at its relaxed geometry (PBE, Alexandria via LeMat-Bulk).

Structure (POSCAR):
```
Cu16Pt6Au7
1.0
7.424 0.000 4.286
2.475 7.000 4.286
0.000 0.000 8.573
Pt Cu Au
6 16 7
Direct
0.245 0.755 0.755
0.755 0.245 0.755
0.755 0.245 0.245
0.245 0.245 0.755
0.755 0.755 0.245
0.245 0.755 0.245
0.128 0.128 0.128
0.159 0.614 0.614
0.386 0.386 0.841
0.841 0.386 0.386
0.616 0.128 0.128
0.614 0.614 0.614
0.614 0.614 0.159
0.872 0.872 0.384
0.128 0.128 0.616
0.872 0.384 0.872
0.386 0.841 0.386
0.128 0.616 0.128
0.386 0.386 0.386
0.872 0.872 0.872
0.384 0.872 0.872
0.614 0.159 0.614
0.500 0.000 0.000
0.500 0.000 0.500
0.000 0.500 0.000
0.000 0.000 0.000
0.500 0.500 0.000
0.000 0.500 0.500
0.000 0.000 0.500
```

Output
Formation energy from the elements in meV/atom: -10
Magnetization in μB per atom: 0.00
Crystal system: cubic



[15]
# Cu2PtAu

Crystalline Cu2PtAu at its relaxed geometry (PBE, Alexandria via LeMat-Bulk).

Structure (POSCAR):
```
Cu2PtAu
1.0
4.554 0.000 0.000
0.986 4.446 0.000
-2.770 -2.223 2.850
Cu Pt Au
2 1 1
Direct
0.000 0.000 0.000
0.500 0.500 0.000
0.250 0.750 0.500
0.750 0.250 0.500
```

Output
Formation energy from the elements in meV/atom: -112
Magnetization in μB per atom: 0.00
Crystal system: tetragonal



[16]
# Cu5PtAu

Crystalline Cu5PtAu at its relaxed geometry (PBE, Alexandria via LeMat-Bulk).

Structure (POSCAR):
```
Cu5PtAu
1.0
4.551 -0.050 0.000
-1.529 4.287 0.000
0.000 0.000 5.271
Cu Au Pt
5 1 1
Direct
0.000 0.500 0.747
0.000 0.500 0.253
0.500 0.000 0.253
0.000 0.000 0.500
0.500 0.000 0.747
0.000 0.000 0.000
0.500 0.500 0.500
```

Output
Formation energy from the elements in meV/atom: 53
Magnetization in μB per atom: 0.00
Crystal system: orthorhombic
E above lowest polymorph in eV per formula unit: 0.000



[17]
# CuPt2Au8

Crystalline CuPt2Au8 at its relaxed geometry (PBE, Alexandria via LeMat-Bulk).

Structure (POSCAR):
```
CuPt2Au8
1.0
-0.739 -3.254 -2.375
6.106 -1.941 0.758
-3.364 -1.560 6.716
Au Pt Cu
8 2 1
Direct
0.865 0.817 0.729
0.681 0.911 0.361
0.409 0.549 0.817
0.045 0.736 0.091
0.591 0.451 0.183
0.319 0.089 0.639
0.955 0.264 0.909
0.135 0.183 0.271
0.773 0.367 0.547
0.227 0.633 0.453
0.500 0.000 0.000
```

Output
Formation energy from the elements in meV/atom: 13
Magnetization in μB per atom: 0.00
Crystal system: monoclinic
E above lowest polymorph in eV per formula unit: 0.000



[18]
# CuPt2Au

Crystalline CuPt2Au at its relaxed geometry (PBE, Alexandria via LeMat-Bulk).

Structure (POSCAR):
```
CuPt2Au
1.0
3.898 0.000 0.000
0.000 2.793 -0.008
0.000 2.764 5.694
Au Pt Cu
1 2 1
Direct
0.000 0.491 0.510
0.000 0.006 0.993
0.500 0.262 0.238
0.500 0.741 0.759
```

Output
Formation energy from the elements in meV/atom: -21
Magnetization in μB per atom: 0.00
Crystal system: monoclinic
E above lowest polymorph in eV per formula unit: 0.338



[19]
# Cu8Pt6Au

Crystalline Cu8Pt6Au at its relaxed geometry (PBE, Alexandria via LeMat-Bulk).

Structure (POSCAR):
```
Cu8Pt6Au
1.0
2.678 0.000 0.000
0.000 9.944 0.000
0.000 -4.972 8.612
Cu Pt Au
8 6 1
Direct
0.793 0.205 0.281
0.793 0.719 0.925
0.207 0.795 0.719
0.238 0.333 0.667
0.207 0.925 0.205
0.793 0.075 0.795
0.762 0.667 0.333
0.207 0.281 0.075
0.741 0.538 0.631
0.741 0.092 0.462
0.259 0.631 0.092
0.259 0.462 0.369
0.741 0.369 0.908
0.259 0.908 0.538
0.500 0.000 0.000
```

Output
Formation energy from the elements in meV/atom: 102
Magnetization in μB per atom: 0.00
Crystal system: trigonal



[20]
# CuPt2Au

Crystalline CuPt2Au at its relaxed geometry (PBE, Alexandria via LeMat-Bulk).

Structure (POSCAR):
```
CuPt2Au
1.0
2.787 0.000 0.000
-1.394 2.414 0.000
0.000 0.000 18.459
Pt Au Cu
4 2 2
Direct
0.333 0.667 0.115
0.667 0.333 0.885
0.667 0.333 0.615
0.333 0.667 0.385
0.667 0.333 0.250
0.333 0.667 0.750
0.000 0.000 0.000
0.000 0.000 0.500
```

Output
Formation energy from the elements in meV/atom: -57
Magnetization in μB per atom: 0.00
Crystal system: hexagonal
E above lowest polymorph in eV per formula unit: 0.192



One value per record, in order, for energy: -29.29 -13.59 -60.30 -23.75 -79.42 -31.28 -19.34 -61.70 -13.43 -90.55 -30.97 -19.22 -49.22 -125.01 -17.96 -29.43 -42.26 -19.54 -70.76 -39.37 eV for the cell shown.